{
  "formula": "CeScTlSn",
  "functional": "PBE",
  "state": "relaxed",
  "lattice_angstrom": [[-1.450, 4.231, 2.831], [-0.446, -0.363, 5.263], [3.517, 2.424, 3.128]],
  "species": ["Sn", "Sc", "Tl", "Ce"],
  "frac_coords": [[0.250, 0.250, 0.250], [0.500, 0.500, 0.500], [0.750, 0.750, 0.750], [0.000, 0.000, 0.000]],
  "magmom_total_mub_per_cell": 1.08,
  "mass_density_g_cm3": 8.04,
  "formation_energy_ev_per_atom": -0.378
}